i | Na2Ge2Pd | GGA-PBE | relaxed

```
Na2Ge2Pd
1.0
5.2466 -2.2685 0.0000
5.2466 2.2685 0.0000
-4.7086 0.0000 8.9824
Na Ge Pd
4 4 2
Direct
0.0931 0.0931 0.3977
0.3282 0.3282 0.8081
0.6718 0.6718 0.1919
0.9069 0.9069 0.6023
0.0830 0.0830 0.9354
0.3857 0.3857 0.3861
0.6143 0.6143 0.6139
0.9170 0.9170 0.0646
0.3464 0.3464 0.1228
0.6536 0.6536 0.8772
```

* density of states at the Fermi level: 3.60 states/eV/cell
* magnetization: 0.000 μB per cell
* space-group type: C2/m, No. 12

ii | Na2Ge2Pd | GGA-PBE | relaxed

```
Na2Ge2Pd
1.0
2.5718 -7.6193 0.0000
2.5718 7.6193 0.0000
0.0000 0.0000 5.6600
Na Ge Pd
4 4 2
Direct
0.0678 0.9322 0.7500
0.3028 0.6972 0.2500
0.6972 0.3028 0.7500
0.9322 0.0678 0.2500
0.1358 0.3721 0.7500
0.3721 0.1358 0.2500
0.6279 0.8642 0.7500
0.8642 0.6279 0.2500
0.5000 0.5000 0.0000
0.5000 0.5000 0.5000
```

* density of states at the Fermi level: 2.11 states/eV/cell
* magnetization: 0.000 μB per cell
* space-group type: Cmcm, No. 63

Q: Which of them is the least stable? A: ii.